First-principles (PBE) data for crystalline Tm3Bi2Te at its relaxed geometry, as listed in the Alexandria database.

The value obtained for the uncorrected formation energy is -0.93 eV/atom. For the magnetization, the calculation gives 0.0 μB per cell. The calculation puts the density of states at the Fermi level at 0.493 states/eV per atom.

a b c (Å): 18.607 6.212 6.212
angles (deg): 90.00 90.00 90.00
Space group Cmcm (No. 63)
Unique sites:
Tm: 0.000 0.248 0.250 (multiplicity 4)
Tm: 0.167 0.250 0.750 (multiplicity 8)
Bi: 0.166 0.250 0.250 (multiplicity 8)
Te: 0.000 0.251 0.750 (multiplicity 4)